AlTlS: relaxed, GGA-PBE.

## Properties
mass density = 6.20 g cm⁻³
energy relative to the elements, uncorrected = -0.188 eV/atom
crystal system = trigonal
spin magnetization = 0.00 μB/atom

Unit cell a=3.4981 b=3.4981 c=26.6157 alpha=90.00 beta=90.00 gamma=120.00
Closest atoms and distances in Å follow each position.
Space group P-3m1 (No. 164)
Unique sites:
Al 0.3333 0.6667 0.1166  6 S 2.37-2.62
Al 0.3333 0.6667 0.6441  6 Tl 3.14-3.25, 6 Al 3.50
Tl 0.3333 0.6667 0.2602  3 S 2.95, 3 Al 3.25
Tl 0.3333 0.6667 0.4463  3 Al 3.14, 9 Tl 3.50
S 0.3333 0.6667 0.8204  3 Al 2.62, 1 S 2.92
S 0.3333 0.6667 0.9302  3 Al 2.37